# MnF, relaxed, DFT GGA+U
# DOS at the Fermi energy	0.30	states/eV/f.u.
# E	-6.198	eV per atom
# total magnetic moment	38.92	μB per cell
data_MnF
_space_group_name_H-M_alt 'P 1'
_space_group_IT_number 1
_cell_length_a 5.2444
_cell_length_b 5.5671
_cell_length_c 8.1777
_cell_angle_alpha 90.00
_cell_angle_beta 90.00
_cell_angle_gamma 90.00
loop_
_space_group_symop_operation_xyz
'x,y,z'
loop_
_atom_site_label
_atom_site_type_symbol
_atom_site_fract_x
_atom_site_fract_y
_atom_site_fract_z
Mn1 Mn 0.7499 0.9233 0.5003
Mn2 Mn 0.2499 0.5767 0.4997
Mn3 Mn 0.2501 0.4233 0.9997
Mn4 Mn 0.6863 0.4982 0.7494
Mn5 Mn 0.1863 0.0018 0.2506
Mn6 Mn 0.7501 0.0767 0.0003
Mn7 Mn 0.3137 0.9982 0.7506
Mn8 Mn 0.8137 0.5018 0.2494
F1 F 0.4972 0.2490 0.5739
F2 F 0.0028 0.7510 0.0739
F3 F 0.5864 0.9943 0.2494
F4 F 0.4136 0.4943 0.2506
F5 F 0.5028 0.7490 0.9261
F6 F 0.9136 0.0057 0.7494
F7 F 0.0864 0.5057 0.7506
F8 F 0.9972 0.2510 0.4261